{
  "formula": "MgVMo2Ru",
  "functional": "PBE",
  "state": "relaxed",
  "total_magnetization_mub_per_cell": 0.0,
  "ef_ev_per_atom": 2.036,
  "lattice_angstrom": [[4.537, 0.000, 0.000], [0.000, 4.537, 0.000], [0.000, 0.000, 4.344]],
  "species": ["Mg", "V", "Mo", "Mo", "Ru"],
  "frac_coords": [[0.000, 0.000, 0.000], [0.500, 0.500, 0.500], [0.000, 0.500, 0.000], [0.500, 0.000, 0.000], [0.000, 0.000, 0.500]]
}


{
  "formula": "BaScSb",
  "functional": "PBE",
  "state": "relaxed",
  "total_magnetization_mub_per_cell": 3.1,
  "relative_energy_mev_per_atom": 21,
  "e_form_raw_ev_per_atom": -0.7743,
  "lattice_angstrom": [[4.740, 0.000, 0.000], [0.000, 4.740, 0.000], [0.000, 0.000, 8.936]],
  "species": ["Ba", "Ba", "Sc", "Sc", "Sb", "Sb"],
  "frac_coords": [[0.250, 0.250, 0.149], [0.750, 0.750, 0.851], [0.250, 0.750, 0.500], [0.750, 0.250, 0.500], [0.250, 0.250, 0.713], [0.750, 0.750, 0.287]]
}